Computed, not measured: an optimized crystal structure of Na2MgPaO4 at the PBE-GGA level of DFT.

Unit cell a=4.6883 b=4.6883 c=5.8099 alpha=113.80 beta=113.79 gamma=90.00
Fractional coordinates of all 8 atoms:
Na (0.2500, 0.7500, 0.5000)
Na (0.0000, 0.0000, 0.0000)
Mg (0.7500, 0.2499, 0.5000)
Pa (0.5000, 0.5000, 0.0000)
O (0.9709, 0.4710, 0.9419)
O (0.5291, 0.0291, 0.0581)
O (0.7291, 0.7292, 0.4582)
O (0.2709, 0.2709, 0.5418)

Values from the calculation:
- raw total energy (eV for the cell shown) = -53.236
- size of the total moment (μB per cell) = 0.99
- E_form (uncorrected) (eV per atom) = -2.46